(1)
{
  "formula": "BaMg2Al",
  "functional": "GGA-PBEsol",
  "state": "relaxed",
  "lattice_angstrom": [[3.5471, 0.0000, 0.0000], [0.0000, 3.5471, 0.0000], [0.0000, 0.0000, 8.7107]],
  "species": ["Mg", "Ba", "Mg", "Al"],
  "frac_coords": [[0.0000, 0.0000, 0.8138], [0.5000, 0.5000, 0.5000], [0.0000, 0.0000, 0.1862], [0.5000, 0.5000, 0.0000]],
  "formation_enthalpy_0k_ev_per_atom": 0.05
}

***

(2)
{
  "formula": "CuTeSe2",
  "functional": "GGA-PBEsol",
  "state": "relaxed",
  "lattice_angstrom": [[-3.4281, 0.7217, 0.4048], [-0.8434, -1.5363, -4.4031], [1.3505, -4.3445, 3.8213]],
  "species": ["Se", "Se", "Cu", "Te"],
  "frac_coords": [[0.1651, 0.1700, 0.3302], [0.8349, 0.8300, 0.6698], [0.5000, 0.0000, 0.0000], [0.0000, 0.5000, 0.0000]],
  "raw_formation_energy_ev_per_atom": 0.0793
}

***

(3)
{
  "formula": "Li2CoCl",
  "functional": "GGA-PBEsol",
  "state": "relaxed",
  "lattice_angstrom": [[-3.0156, 0.1591, 0.0732], [-1.6236, -2.4376, 0.7395], [-1.2419, 1.4111, 8.0948]],
  "species": ["Li", "Cl", "Li", "Co"],
  "frac_coords": [[0.7693, 0.7693, 0.6920], [0.5015, 0.5015, 0.4956], [0.9896, 0.9896, 0.0313], [0.2396, 0.2396, 0.2811]],
  "polymorph_energy_ev_per_atom": 0.220,
  "raw_formation_energy_ev_per_atom": -0.0623
}

***

(4)
{
  "formula": "Sc2RuCl",
  "functional": "GGA-PBEsol",
  "state": "relaxed",
  "lattice_angstrom": [[-1.7253, 0.4824, 4.2293], [2.6320, -0.8564, 3.6655], [1.4087, 3.4584, 2.6743]],
  "species": ["Sc", "Cl", "Ru", "Sc"],
  "frac_coords": [[0.2500, 0.2500, 0.2500], [0.5000, 0.5000, 0.5000], [0.0000, 0.0000, 0.0000], [0.7500, 0.7500, 0.7500]],
  "polymorph_energy_ev_per_atom": 0.601,
  "raw_formation_energy_ev_per_atom": -0.3836
}

***

(5)
{
  "formula": "Bi2HI2",
  "functional": "GGA-PBEsol",
  "state": "relaxed",
  "lattice_angstrom": [[-0.1985, -4.9268, -3.1882], [2.4061, -3.7297, 5.6138], [-6.7355, -1.1167, 2.1449]],
  "species": ["Bi", "I", "I", "I", "I", "Bi", "Bi", "Bi", "H", "H"],
  "frac_coords": [[0.0000, 0.2498, 0.7498], [0.5000, 0.8164, 0.3164], [0.5000, 0.3164, 0.1836], [0.5000, 0.1836, 0.6836], [0.5000, 0.6836, 0.8164], [0.0000, 0.7498, 0.7502], [0.0000, 0.7502, 0.2502], [0.0000, 0.2502, 0.2498], [0.0000, 0.0000, 0.0000], [0.0000, 0.5000, 0.5000]],
  "final_energy_ev_per_atom": -2.913
}

***

(6)
{
  "formula": "SiOsSe2",
  "functional": "GGA-PBEsol",
  "state": "relaxed",
  "lattice_angstrom": [[3.4024, 0.0000, 0.0000], [0.0000, 3.6833, 0.0000], [-1.7012, -1.8417, 6.0239]],
  "species": ["Se", "Si", "Se", "Os"],
  "frac_coords": [[0.1506, 0.1506, 0.3011], [0.5000, 0.0000, 0.0000], [0.8494, 0.8494, 0.6989], [0.0000, 0.5000, 0.0000]],
  "raw_formation_energy_ev_per_atom": 0.0367
}

***

(7)
{
  "formula": "ScMoCl2",
  "functional": "GGA-PBEsol",
  "state": "relaxed",
  "lattice_angstrom": [[-1.5073, -2.4131, 1.1123], [2.6475, -1.4725, 0.3932], [0.5985, 3.0721, 7.4759]],
  "species": ["Cl", "Mo", "Sc", "Cl"],
  "frac_coords": [[0.0000, 0.0000, 0.9404], [0.0000, 0.0000, 0.4829], [0.5000, 0.5000, 0.7473], [0.5000, 0.5000, 0.3294]],
  "polymorph_energy_ev_per_atom": 0.000,
  "raw_formation_energy_ev_per_atom": -0.6478
}

***

(8)
{
  "formula": "SiBiPd2Rh",
  "functional": "GGA-PBEsol",
  "state": "relaxed",
  "lattice_angstrom": [[-0.2991, 1.9250, 4.5181], [-2.0052, -4.1874, 1.6513], [4.4912, -1.7409, 1.0391]],
  "species": ["Pd", "Pd", "Bi", "Si", "Rh"],
  "frac_coords": [[0.0000, 0.0000, 0.5000], [0.0000, 0.5000, 0.0000], [0.0000, 0.0000, 0.0000], [0.5000, 0.5000, 0.5000], [0.5000, 0.0000, 0.0000]],
  "raw_formation_energy_ev_per_atom": 1.2031
}